(1)
Crystalline BaIn3Tc at its relaxed geometry. Source: the Alexandria database, functional PBE.

Geometry as POSCAR:
```
BaIn3Tc
1.0
-2.4735 -3.7232 -2.8044
-0.0061 -3.1722 4.2169
-4.6612 1.9799 1.4827
Tc Ba In
1 1 3
Direct
0.0000 0.0000 0.0000 Tc
0.5000 0.5000 0.5000 Ba
0.0000 0.5000 0.0000 In
0.0000 0.0000 0.5000 In
0.5000 0.0000 0.0000 In
```

Computed properties:
Total magnetic moment   0.000 μB/atom
Total energy   -21.426 eV/cell
Crystal system   cubic
E above lowest polymorph   0.0 meV per atom
E_form   -0.184 eV per atom

---

(2)
Crystalline BaInTc2 at its relaxed geometry. Source: the Alexandria database, functional PBE.

Geometry as POSCAR:
```
BaInTc2
1.0
10.4081 0.0226 0.0132
9.9444 3.0723 0.0132
9.9444 1.5122 2.6745
Ba In Tc
1 1 2
Direct
0.2500 0.2500 0.2500 Ba
0.7500 0.7500 0.7500 In
0.0115 0.0115 0.0115 Tc
0.4885 0.4885 0.4885 Tc
```

Computed properties:
Total magnetic moment   0.252 μB/atom
Total energy   -21.118 eV/cell
Crystal system   trigonal
E above lowest polymorph   856.3 meV per atom
E_form   1.069 eV per atom

---

(3)
Crystalline Ba2InTc at its relaxed geometry. Source: the Alexandria database, functional PBE.

Geometry as POSCAR:
```
Ba2InTc
1.0
5.5452 -0.4920 0.0000
0.5379 5.5409 0.0000
-3.0415 -2.5245 3.9201
Ba In Tc
2 1 1
Direct
0.0000 0.0000 0.0000 Ba
0.2500 0.7500 0.5000 Ba
0.5000 0.5000 0.0000 In
0.7500 0.2500 0.5000 Tc
```

Computed properties:
Total magnetic moment   0.751 μB/atom
Total energy   -14.633 eV/cell
Crystal system   tetragonal
E above lowest polymorph   279.4 meV per atom
E_form   0.579 eV per atom

---

The highest E above lowest polymorph belongs to which entry? BaInTc2

---

Look up the total magnetic moment of the first one. 0.000 μB/atom

---

What is the formula in the second record? BaInTc2

---

Look up the total energy of the first one. -21.426 eV/cell